VASP calculation (GGA-PBE) on a relaxed structure of Pr4SiGeSe2.

The uncorrected formation energy comes out at -1.34 eV per atom. The value obtained for the energy is -46.8 eV per cell. The calculation puts the magnetic moment at 0.00 μB/f.u. The calculated density is 6.013 g cm⁻³.

It has space group P2/m (No. 10), with a = 7.4360 Å, b = 4.3036 Å, c = 7.5173 Å, α = 90.00°, β = 109.28° and γ = 90.00°. The distinct sites, in fractional coordinates, are Pr at (0.2453, 0.0000, 0.2403), Pr at (0.2523, 0.5000, 0.7592), Si at (0.0000, 0.5000, 0.0000), Ge at (0.5000, 0.0000, 0.0000), Se at (0.0000, 0.0000, 0.5000) and Se at (0.5000, 0.5000, 0.5000).